*one*
Here is Pr3In2Hg3 after structural relaxation from the Alexandria database. Energies are from GGA-PBE.

a = 6.4720 Å, b = 9.2593 Å, c = 9.2593 Å
α = 120.00°, β = 90.00°, γ = 90.00°
Last column: nearest neighbours and their distance in Å.
Fractional positions:
In  0.5000  0.3333  0.6667  2 In 3.24, 6 Hg 3.45, 6 Pr 3.54
In  0.0000  0.6667  0.3333  2 In 3.24, 6 Hg 3.45, 6 Pr 3.54
Pr  0.7500  0.0000  0.3194  5 Hg 3.06-3.24
Pr  0.7500  0.6806  0.6806  5 Hg 3.06-3.24
Pr  0.2500  0.3194  0.3194  5 Hg 3.06-3.24
Hg  0.2500  0.6589  0.6589  5 Pr 3.06-3.24
Hg  0.7500  0.0000  0.6589  5 Pr 3.06-3.24
Pr  0.7500  0.3194  0.0000  5 Hg 3.06-3.24
In  0.0000  0.3333  0.6667  2 In 3.24, 6 Hg 3.45, 6 Pr 3.54
Pr  0.2500  0.0000  0.6806  5 Hg 3.06-3.24
Pr  0.2500  0.6806  0.0000  5 Hg 3.06-3.24
In  0.5000  0.6667  0.3333  2 In 3.24, 6 Hg 3.45, 6 Pr 3.54
Hg  0.7500  0.3411  0.3411  5 Pr 3.06-3.24
Hg  0.2500  0.3411  0.0000  5 Pr 3.06-3.24
Hg  0.2500  0.0000  0.3411  5 Pr 3.06-3.24
Hg  0.7500  0.6589  0.0000  5 Pr 3.06-3.24

=====

*two*
Here is Pr3In2Hg3 after structural relaxation from the Alexandria database. Energies are from GGA-PBE.

a = 4.7890 Å, b = 6.3512 Å, c = 15.9388 Å
α = 90.00°, β = 90.00°, γ = 112.15°
Last column: nearest neighbours and their distance in Å.
Fractional positions:
Hg  0.3701  0.7401  0.2500  2 In 2.96, 1 Pr 3.16
Pr  0.9181  0.8362  0.1082  7 Hg 3.33-3.73, 3 In 3.42-3.44
In  0.7915  0.5830  0.6079  4 Hg 2.87-3.07
In  0.2085  0.4170  0.3921  4 Hg 2.87-3.07
Pr  0.9181  0.8362  0.3918  7 Hg 3.33-3.73, 3 In 3.42-3.44
Hg  0.6169  0.2338  0.4650  3 In 2.87-3.07, 1 Hg 2.97
Pr  0.0819  0.1638  0.8918  7 Hg 3.33-3.73, 3 In 3.42-3.44
Hg  0.6299  0.2599  0.7500  2 In 2.96, 1 Pr 3.16
Pr  0.6388  0.2777  0.2500  3 Hg 3.16-3.44, 4 In 3.40
Hg  0.3831  0.7662  0.9650  3 In 2.87-3.07, 1 Hg 2.97
Hg  0.6169  0.2338  0.0350  3 In 2.87-3.07, 1 Hg 2.97
In  0.2085  0.4170  0.1079  4 Hg 2.87-3.07
In  0.7915  0.5830  0.8921  4 Hg 2.87-3.07
Hg  0.3831  0.7662  0.5350  3 In 2.87-3.07, 1 Hg 2.97
Pr  0.3612  0.7223  0.7500  3 Hg 3.16-3.44, 4 In 3.40
Pr  0.0819  0.1638  0.6082  7 Hg 3.33-3.73, 3 In 3.42-3.44

=====

Question: which arrangement is favored energetically? Ranking from most to least stable: *two*, *one*.

=====

*one*
Here is Pr3InHg4 after structural relaxation from the Alexandria database. Energies are from GGA-PBE.

a = 5.2877 Å, b = 5.2877 Å, c = 9.6709 Å
α = 74.13°, β = 74.13°, γ = 60.00°
Last column: nearest neighbours and their distance in Å.
Fractional positions:
Hg  0.8712  0.8712  0.3865  6 Pr 3.23-3.42, 1 In 3.55
Pr  0.5000  0.5000  0.5000  8 Hg 3.23-3.33
Hg  0.3792  0.3792  0.8624  5 Pr 3.14-3.33, 3 In 3.30
Hg  0.6208  0.6208  0.1376  5 Pr 3.14-3.33, 3 In 3.30
In  0.0000  0.0000  0.0000  8 Hg 3.30-3.55, 6 Pr 3.65
Hg  0.1288  0.1288  0.6135  6 Pr 3.23-3.42, 1 In 3.55
Pr  0.7394  0.7394  0.7819  7 Hg 3.14-3.42
Pr  0.2606  0.2606  0.2181  7 Hg 3.14-3.42

=====

*two*
Here is Pr3InHg4 after structural relaxation from the Alexandria database. Energies are from GGA-PBE.

a = 3.8546 Å, b = 7.9982 Å, c = 8.9431 Å
α = 116.56°, β = 102.45°, γ = 90.00°
Last column: nearest neighbours and their distance in Å.
Fractional positions:
Hg  0.3656  0.5663  0.7311  5 Pr 3.16-3.26, 1 In 3.18, 1 Hg 3.21
Pr  0.1902  0.1902  0.3803  6 Hg 3.16-3.19, 2 In 3.53
In  0.5000  0.0000  0.0000  4 Hg 3.18, 4 Pr 3.53
Hg  0.6344  0.8352  0.2689  5 Pr 3.16-3.26, 1 In 3.18, 1 Hg 3.21
Pr  0.8098  0.8098  0.6197  6 Hg 3.16-3.19, 2 In 3.53
Hg  0.3656  0.1648  0.7311  5 Pr 3.16-3.26, 1 In 3.18, 1 Hg 3.21
Pr  0.0000  0.5000  0.0000  8 Hg 3.26
Hg  0.6344  0.4337  0.2689  5 Pr 3.16-3.26, 1 In 3.18, 1 Hg 3.21

=====

Question: which arrangement is favored energetically? Ranking from most to least stable: *one*, *two*.

=====

*one*
Here is Pr3In4Hg2 after structural relaxation from the Alexandria database. Energies are from GGA-PBE.

a = 4.9701 Å, b = 6.3067 Å, c = 9.4566 Å
α = 113.08°, β = 90.00°, γ = 113.21°
Last column: nearest neighbours and their distance in Å.
Fractional positions:
In  0.9623  0.9246  0.6297  2 Hg 2.89, 1 In 2.93
Hg  0.3758  0.7516  0.7078  3 In 2.89
Pr  0.0000  0.0000  0.0000  8 In 3.34-3.51, 4 Hg 3.53
Pr  0.6695  0.3389  0.6605  4 Hg 3.29-3.62, 8 In 3.38-3.60
Hg  0.6242  0.2484  0.2922  3 In 2.89
In  0.7320  0.4639  0.0677  1 Hg 2.89, 2 In 2.91
Pr  0.3305  0.6611  0.3395  4 Hg 3.29-3.62, 8 In 3.38-3.60
In  0.2680  0.5361  0.9323  1 Hg 2.89, 2 In 2.91
In  0.0377  0.0754  0.3703  2 Hg 2.89, 1 In 2.93

=====

*two*
Here is Pr3In4Hg2 after structural relaxation from the Alexandria database. Energies are from GGA-PBE.

a = 4.5284 Å, b = 7.9651 Å, c = 7.9651 Å
α = 120.00°, β = 90.00°, γ = 90.00°
Last column: nearest neighbours and their distance in Å.
Fractional positions:
In  0.0000  0.0000  0.7437  2 Hg 3.01, 2 In 3.05
In  0.5000  0.0000  0.0000  6 In 3.05, 3 Pr 3.22
Hg  0.0000  0.6667  0.3333  3 In 3.01, 6 Pr 3.32
In  0.0000  0.2563  0.2563  2 Hg 3.01, 2 In 3.05
In  0.0000  0.7437  0.0000  2 Hg 3.01, 2 In 3.05
Pr  0.5000  0.0000  0.4044  3 In 3.22-3.53, 4 Hg 3.32
Pr  0.5000  0.4044  0.0000  3 In 3.22-3.53, 4 Hg 3.32
Hg  0.0000  0.3333  0.6667  3 In 3.01, 6 Pr 3.32
Pr  0.5000  0.5956  0.5956  3 In 3.22-3.53, 4 Hg 3.32

=====

Question: which arrangement is favored energetically? Ranking from most to least stable: *one*, *two*.

=====

*one*
Here is Pr8InHg2 after structural relaxation from the Alexandria database. Energies are from GGA-PBE.

a = 5.5390 Å, b = 8.8787 Å, c = 8.9074 Å
α = 119.14°, β = 108.11°, γ = 90.00°
Last column: nearest neighbours and their distance in Å.
Fractional positions:
Pr  0.8611  0.8064  0.7222  3 Hg 3.27-3.44, 2 In 3.47
Pr  0.1389  0.1936  0.2778  3 Hg 3.27-3.44, 2 In 3.47
Pr  0.3188  0.0458  0.6377  1 Hg 3.28, 1 In 3.29, 4 Pr 3.39-3.44
Pr  0.6812  0.9542  0.3623  1 Hg 3.28, 1 In 3.29, 4 Pr 3.39-3.44
Hg  0.7747  0.3822  0.5493  8 Pr 3.21-3.44
Pr  0.0699  0.7221  0.1399  1 Hg 3.21, 3 Pr 3.39-3.40
Pr  0.9301  0.2779  0.8601  1 Hg 3.21, 3 Pr 3.39-3.40
In  0.5000  0.0000  0.0000  8 Pr 3.29-3.47
Hg  0.2253  0.6178  0.4507  8 Pr 3.21-3.44
Pr  0.5936  0.4490  0.1872  3 Hg 3.39-3.41, 1 In 3.45, 3 Pr 3.65-3.72
Pr  0.4064  0.5510  0.8128  3 Hg 3.39-3.41, 1 In 3.45, 3 Pr 3.65-3.72

=====

*two*
Here is Pr8InHg2 after structural relaxation from the Alexandria database. Energies are from GGA-PBE.

a = 5.6735 Å, b = 8.8328 Å, c = 8.8328 Å
α = 118.30°, β = 100.61°, γ = 100.61°
Last column: nearest neighbours and their distance in Å.
Fractional positions:
Pr  0.6960  0.3981  0.3981  4 Pr 3.28-3.66, 2 Hg 3.33, 1 In 3.37
In  0.5000  0.0000  0.0000  8 Pr 3.37-3.61
Pr  0.5000  0.2250  0.7750  2 Hg 3.11, 1 In 3.41
Pr  0.9085  0.9124  0.6897  2 Hg 3.19-3.43, 2 Pr 3.37-3.38
Pr  0.9085  0.6897  0.9124  2 Hg 3.19-3.43, 2 Pr 3.37-3.38
Pr  0.0915  0.3103  0.0876  2 Hg 3.19-3.43, 2 Pr 3.37-3.38
Pr  0.3040  0.6019  0.6019  4 Pr 3.28-3.66, 2 Hg 3.33, 1 In 3.37
Hg  0.0000  0.6914  0.3086  8 Pr 3.11-3.43
Hg  0.0000  0.3086  0.6914  8 Pr 3.11-3.43
Pr  0.0915  0.0876  0.3103  2 Hg 3.19-3.43, 2 Pr 3.37-3.38
Pr  0.5000  0.7750  0.2250  2 Hg 3.11, 1 In 3.41

=====

Question: which arrangement is favored energetically? Ranking from most to least stable: *one*, *two*.

=====

*one*
Here is PrIn3Hg2 after structural relaxation from the Alexandria database. Energies are from GGA-PBE.

a = 4.9644 Å, b = 8.8022 Å, c = 8.8625 Å
α = 119.00°, β = 90.00°, γ = 106.38°
Last column: nearest neighbours and their distance in Å.
Fractional positions:
Pr  0.1327  0.2655  0.1188  7 Hg 3.26-3.55, 5 In 3.38-3.61
Pr  0.8673  0.7345  0.8812  7 Hg 3.26-3.55, 5 In 3.38-3.61
In  0.3743  0.7486  0.3156  3 Hg 2.98-3.08, 1 In 3.22
Hg  0.5063  0.0125  0.8428  1 Hg 2.90, 4 In 2.97-3.09
In  0.0280  0.0560  0.3663  1 In 2.96, 2 Hg 2.97
In  0.2971  0.5942  0.5820  3 In 2.91-3.22, 2 Hg 3.09-3.19
Hg  0.7591  0.5182  0.1238  4 In 3.08-3.37, 2 Hg 3.22, 2 Pr 3.26
In  0.7029  0.4058  0.4180  3 In 2.91-3.22, 2 Hg 3.09-3.19
In  0.6257  0.2514  0.6844  3 Hg 2.98-3.08, 1 In 3.22
Hg  0.4937  0.9875  0.1572  1 Hg 2.90, 4 In 2.97-3.09
Hg  0.2409  0.4818  0.8762  4 In 3.08-3.37, 2 Hg 3.22, 2 Pr 3.26
In  0.9720  0.9440  0.6337  1 In 2.96, 2 Hg 2.97

=====

*two*
Here is PrIn3Hg2 after structural relaxation from the Alexandria database. Energies are from GGA-PBE.

a = 4.8259 Å, b = 7.7768 Å, c = 9.0889 Å
α = 92.91°, β = 105.40°, γ = 90.00°
Last column: nearest neighbours and their distance in Å.
Fractional positions:
In  0.6782  0.9776  0.3565  4 Hg 3.07-3.41, 3 In 3.12-3.27, 2 Pr 3.43
Hg  0.2203  0.6889  0.4407  4 In 3.02-3.17, 3 Pr 3.27-3.30
In  0.0604  0.8613  0.1207  3 Hg 2.99-3.17, 3 In 3.10-3.27
In  0.3218  0.0224  0.6435  4 Hg 3.07-3.41, 3 In 3.12-3.27, 2 Pr 3.43
Hg  0.5308  0.2462  0.0616  4 In 2.99-3.07, 2 Pr 3.24
Hg  0.7797  0.3111  0.5593  4 In 3.02-3.17, 3 Pr 3.27-3.30
In  0.6248  0.5891  0.2495  4 Hg 3.02-3.07, 1 In 3.12
Pr  0.1540  0.2840  0.3081  5 Hg 3.24-3.30, 5 In 3.43-3.60
Hg  0.4692  0.7538  0.9384  4 In 2.99-3.07, 2 Pr 3.24
In  0.9396  0.1387  0.8793  3 Hg 2.99-3.17, 3 In 3.10-3.27
Pr  0.8460  0.7160  0.6919  5 Hg 3.24-3.30, 5 In 3.43-3.60
In  0.3752  0.4109  0.7505  4 Hg 3.02-3.07, 1 In 3.12

=====

Question: which arrangement is favored energetically? Ranking from most to least stable: *one*, *two*.